# 1
First-principles (PBE) data for a geometry-optimized Cd2CoSe structure, as listed in the Alexandria database.

Cell lengths 3.0909, 4.2671, 6.3801 Å; angles 70.38, 90.00, 90.00 degrees
Element x y z (fractional)
1 Cd 0.0000 0.9356 0.0027
2 Cd 0.5000 0.2730 0.3302
3 Co 0.0000 0.7172 0.4420
4 Se 0.5000 0.5742 0.7251

Computed properties:
The value obtained for the formation energy (no corrections) is 0.0 eV per formula unit. The value obtained for the density of states at the Fermi level is 2.2 states/eV/f.u.

=====

# 2
First-principles (PBE) data for a geometry-optimized Si2Sb2Pb structure, as listed in the Alexandria database.

Cell lengths 3.4729, 3.4729, 10.3846 Å; angles 80.37, 80.37, 90.00 degrees
Element x y z (fractional)
1 Pb 0.0000 0.0000 0.0000
2 Sb 0.6230 0.6230 0.7539
3 Si 0.7500 0.2500 0.5000
4 Si 0.2500 0.7500 0.5000
5 Sb 0.3770 0.3770 0.2461

Computed properties:
The energy above the most stable polymorph in this dataset comes out at 16.4 meV/atom. The value obtained for the formation energy (no corrections) is 1.5 eV per formula unit. The value obtained for the density of states at the Fermi level is 2.7 states/eV/f.u.

=====

# 3
First-principles (PBE) data for a geometry-optimized LiNdPa2N4 structure, as listed in the Alexandria database.

Cell lengths 3.5659, 6.0319, 11.3092 Å; angles 90.00, 90.00, 107.19 degrees
Element x y z (fractional)
1 Nd 0.9002 0.8004 0.2500
2 Pa 0.3707 0.7415 0.9420
3 N 0.7380 0.4761 0.6078
4 N 0.2620 0.5239 0.3922
5 N 0.4394 0.8788 0.7500
6 N 0.0000 0.0000 0.0000
7 N 0.2620 0.5239 0.1078
8 Pa 0.3707 0.7415 0.5580
9 Li 0.8343 0.6686 0.7500
10 Li 0.1657 0.3314 0.2500
11 Pa 0.6293 0.2585 0.4420
12 Nd 0.0998 0.1996 0.7500
13 N 0.0000 0.0000 0.5000
14 N 0.7380 0.4761 0.8922
15 Pa 0.6293 0.2585 0.0580
16 N 0.5606 0.1212 0.2500

Computed properties:
The value obtained for the formation energy (no corrections) is -11.0 eV per formula unit. The value obtained for the density of states at the Fermi level is 5.0 states/eV/f.u.

=====

# 4
First-principles (PBE) data for a geometry-optimized Cs3U2PO10 structure, as listed in the Alexandria database.

Cell lengths 8.0468, 8.0468, 12.5961 Å; angles 69.36, 69.36, 62.34 degrees
Element x y z (fractional)
1 O 0.9193 0.1662 0.8233
2 O 0.2429 0.5709 0.3336
3 O 0.0160 0.2809 0.4327
4 Cs 0.5228 0.0744 0.3167
5 O 0.6772 0.7985 0.9255
6 O 0.2809 0.0160 0.9327
7 O 0.7985 0.6772 0.4255
8 O 0.9840 0.7191 0.5673
9 O 0.4291 0.7571 0.1664
10 P 0.2286 0.7714 0.2500
11 Cs 0.4772 0.9256 0.6833
12 O 0.1662 0.9193 0.3233
13 U 0.0000 0.0000 0.5000
14 O 0.7623 0.1030 0.4577
15 O 0.8338 0.0807 0.6767
16 O 0.7571 0.4291 0.6664
17 O 0.1030 0.7623 0.9577
18 O 0.2015 0.3228 0.5745
19 O 0.7191 0.9840 0.0673
20 O 0.5709 0.2429 0.8336
21 Cs 0.9256 0.4772 0.1833
22 O 0.0807 0.8338 0.1767
23 U 0.0000 0.0000 0.0000
24 O 0.3228 0.2015 0.0745
25 O 0.2377 0.8970 0.5423
26 Cs 0.5000 0.5000 0.5000
27 P 0.7714 0.2286 0.7500
28 O 0.8970 0.2377 0.0423
29 U 0.0000 0.5000 0.5000
30 Cs 0.5000 0.5000 0.0000
31 Cs 0.0744 0.5228 0.8167
32 U 0.5000 0.0000 0.0000

Computed properties:
The value obtained for the formation energy (no corrections) is -43.3 eV per formula unit. The value obtained for the density of states at the Fermi level is 0.0 states/eV/f.u.

=====

# 5
First-principles (PBE) data for a geometry-optimized AgCl4 structure, as listed in the Alexandria database.

Cell lengths 5.6232, 5.6232, 5.6232 Å; angles 117.95, 117.95, 93.58 degrees
Element x y z (fractional)
1 Ag 0.0000 0.0000 0.0000
2 Cl 0.7500 0.2500 0.5000
3 Cl 0.2500 0.7500 0.5000
4 Cl 0.3693 0.3693 0.0000
5 Cl 0.6307 0.6307 0.0000

Computed properties:
The energy above the most stable polymorph in this dataset comes out at 491.5 meV/atom. The value obtained for the formation energy (no corrections) is 2.0 eV per formula unit. The value obtained for the density of states at the Fermi level is 4.0 states/eV/f.u.

=====

# 6
First-principles (PBE) data for a geometry-optimized InPdAu structure, as listed in the Alexandria database.

Cell lengths 4.4940, 4.4940, 7.3467 Å; angles 72.19, 72.19, 60.00 degrees
Element x y z (fractional)
1 In 0.5000 0.5000 0.5000
2 Au 0.7706 0.7706 0.6882
3 In 0.0000 0.0000 0.0000
4 Pd 0.6305 0.6305 0.1085
5 Pd 0.3695 0.3695 0.8915
6 Au 0.2294 0.2294 0.3118

Computed properties:
The calculation puts the formation energy at -267 meV/atom. The energy above the most stable polymorph in this dataset comes out at 37.4 meV/atom. The value obtained for the density of states at the Fermi level is 0.9 states/eV/f.u.

=====

# 7
First-principles (PBE) data for a geometry-optimized LaHfAg structure, as listed in the Alexandria database.

Cell lengths 8.5299, 3.4644, 5.2942 Å; angles 90.00, 90.00, 101.72 degrees
Element x y z (fractional)
1 Ag 0.7313 0.6789 0.4557
2 La 0.7759 0.2010 0.9557
3 Hf 0.4207 0.5235 0.9558
4 La 0.1015 0.3642 0.4556
5 Hf 0.4566 0.0416 0.4558
6 Ag 0.1460 0.8862 0.9556

Computed properties:
The calculation puts the formation energy at -34 meV/atom. The energy above the most stable polymorph in this dataset comes out at 0.0 meV/atom. The value obtained for the density of states at the Fermi level is 2.4 states/eV/f.u.

=====

# 8
First-principles (PBE) data for a geometry-optimized AgPtN structure, as listed in the Alexandria database.

Cell lengths 2.7995, 5.7966, 12.5724 Å; angles 144.00, 123.80, 76.01 degrees
Element x y z (fractional)
1 N 0.3721 0.8220 0.2134
2 Pt 0.1223 0.2033 0.9894
3 N 0.6279 0.1780 0.7866
4 Pt 0.8777 0.7967 0.0106
5 Ag 0.0239 0.3841 0.5853
6 Ag 0.9761 0.6159 0.4147

Computed properties:
The value obtained for the formation energy (no corrections) is 2.7 eV per formula unit. The value obtained for the density of states at the Fermi level is 1.5 states/eV/f.u.

=====

# 9
First-principles (PBE) data for a geometry-optimized TlTc2Mo structure, as listed in the Alexandria database.

Cell lengths 2.8864, 2.8864, 8.1108 Å; angles 90.00, 90.00, 90.00 degrees
Element x y z (fractional)
1 Tl 0.0000 0.0000 0.4931
2 Mo 0.5000 0.5000 0.7788
3 Tc 0.5000 0.5000 0.2174
4 Tc 0.0000 0.0000 0.0108

Computed properties:
The calculation puts the formation energy at 404 meV/atom. The energy above the most stable polymorph in this dataset comes out at 2.4 meV/atom. The value obtained for the density of states at the Fermi level is 2.7 states/eV/f.u.

=====

Q: Which value of density of states at the Fermi level does entry 8 give?
A: 1.5 states/eV/f.u.